CrCd2Fe | PBEsol | relaxed

Summary:
Magnetization (μB per formula unit): 5.58
SG: I4/mmm (139)
Excess energy over the best structure of this formula in the dataset (eV per atom): 0.000
DFT formation energy (meV/atom): 529

Lattice parameters (Å, degrees): 4.059 4.059 4.813 114.94 114.94 90.00
Site moments in Bohr magnetons follow the coordinates.
Element x y z (fractional)
Fe 0.000 0.000 0.000  2.42
Cd 0.750 0.250 0.500  -0.04
Cr 0.500 0.500 0.000  3.07
Cd 0.250 0.750 0.500  -0.04